[1]
Below is crystalline CrSbS2 at its relaxed geometry, with properties calculated at the PBE level.

Unit cell a=6.839 b=10.502 c=4.926 alpha=90.00 beta=90.00 gamma=90.00
Sites, in units of the cell vectors:
1 Cr 0.018 0.150 0.000
2 Cr 0.482 0.650 0.500
3 Cr 0.518 0.350 0.000
4 Cr 0.982 0.850 0.500
5 Sb 0.244 0.321 0.608
6 Sb 0.256 0.821 0.108
7 Sb 0.744 0.179 0.608
8 Sb 0.756 0.679 0.108
9 S 0.167 0.681 0.717
10 S 0.181 0.992 0.752
11 S 0.319 0.492 0.252
12 S 0.333 0.181 0.217
13 S 0.667 0.819 0.717
14 S 0.681 0.508 0.752
15 S 0.819 0.008 0.252
16 S 0.833 0.319 0.217

Calculated values
SG   Pna2_1 (33)
Formation energy (no corrections)   -0.230 eV per atom

=====

[2]
Below is crystalline PrMgPb at its relaxed geometry, with properties calculated at the PBE level.

Unit cell a=4.321 b=4.476 c=5.099 alpha=90.00 beta=90.00 gamma=90.00
Sites, in units of the cell vectors:
1 Pr 0.000 0.000 0.000
2 Mg 0.000 0.500 0.500
3 Pb 0.500 0.000 0.500

Calculated values
SG   Pmmm (47)
DFT formation energy   -0.077 eV/atom

=====

[3]
Below is crystalline MnSn2TePt at its relaxed geometry, with properties calculated at the PBE level.

Unit cell a=5.147 b=5.147 c=5.760 alpha=90.00 beta=90.00 gamma=90.00
Sites, in units of the cell vectors:
1 Mn 0.000 0.000 0.000
2 Sn 0.000 0.500 0.500
3 Sn 0.500 0.000 0.500
4 Te 0.500 0.500 0.000
5 Pt 0.500 0.500 0.500

Calculated values
SG   P4/mmm (123)
Formation energy (no corrections)   0.452 eV per atom

=====

[4]
Below is crystalline Nb3ReHg at its relaxed geometry, with properties calculated at the PBE level.

Unit cell a=4.872 b=4.872 c=4.872 alpha=90.00 beta=90.00 gamma=90.00
Sites, in units of the cell vectors:
1 Nb 0.000 0.000 0.500
2 Nb 0.000 0.500 0.000
3 Nb 0.500 0.000 0.000
4 Re 0.000 0.000 0.000
5 Hg 0.500 0.500 0.500

Calculated values
SG   Pm-3m (221)
DFT formation energy   1.052 eV/atom
Energy above the lowest structure with this stoichiometry   0 meV/atom

=====

[5]
Below is crystalline CeErPa2S4 at its relaxed geometry, with properties calculated at the PBE level.

Unit cell a=6.702 b=3.808 c=6.977 alpha=90.00 beta=108.04 gamma=90.00
Sites, in units of the cell vectors:
1 Ce 0.000 0.000 0.000
2 Er 0.500 0.500 0.000
3 Pa 0.000 0.500 0.500
4 Pa 0.500 0.000 0.500
5 S 0.256 0.500 0.250
6 S 0.258 0.000 0.754
7 S 0.742 0.000 0.246
8 S 0.744 0.500 0.750

Calculated values
SG   P2/m (10)
Formation energy (no corrections)   -1.784 eV per atom

=====

[6]
Below is crystalline BaNbCuF2 at its relaxed geometry, with properties calculated at the PBE level.

Unit cell a=4.773 b=4.773 c=6.683 alpha=90.00 beta=90.00 gamma=90.00
Sites, in units of the cell vectors:
1 Ba 0.000 0.000 0.000
2 Nb 0.500 0.500 0.500
3 Cu 0.000 0.000 0.500
4 F 0.000 0.500 0.000
5 F 0.500 0.000 0.000

Calculated values
SG   P4/mmm (123)
Formation energy (no corrections)   -0.643 eV per atom

=====

[7]
Below is crystalline Sc2Ni at its relaxed geometry, with properties calculated at the PBE level.

Unit cell a=7.459 b=7.459 c=4.711 alpha=90.00 beta=90.00 gamma=154.69
Sites, in units of the cell vectors:
1 Sc 0.075 0.925 0.750
2 Sc 0.217 0.783 0.250
3 Sc 0.783 0.217 0.750
4 Sc 0.925 0.075 0.250
5 Ni 0.429 0.571 0.750
6 Ni 0.571 0.429 0.250

Calculated values
SG   Cmcm (63)
DFT formation energy   -0.305 eV/atom

=====

[8]
Below is crystalline Ce2PmIn at its relaxed geometry, with properties calculated at the PBE level.

Unit cell a=5.524 b=5.524 c=5.524 alpha=60.00 beta=60.00 gamma=60.00
Sites, in units of the cell vectors:
1 Ce 0.250 0.250 0.250
2 Ce 0.750 0.750 0.750
3 Pm 0.000 0.000 0.000
4 In 0.500 0.500 0.500

Calculated values
SG   Fm-3m (225)
DFT formation energy   -0.023 eV/atom
Energy above the lowest structure with this stoichiometry   180 meV/atom

=====

[9]
Below is crystalline CePa2Bi at its relaxed geometry, with properties calculated at the PBE level.

Unit cell a=4.607 b=4.607 c=4.927 alpha=90.00 beta=90.00 gamma=90.00
Sites, in units of the cell vectors:
1 Ce 0.000 0.000 0.000
2 Pa 0.000 0.500 0.500
3 Pa 0.500 0.000 0.500
4 Bi 0.500 0.500 0.000

Calculated values
SG   P4/mmm (123)
DFT formation energy   -0.145 eV/atom
Energy above the lowest structure with this stoichiometry   0 meV/atom

=====

[10]
Below is crystalline NpU2Os at its relaxed geometry, with properties calculated at the PBE level.

Unit cell a=4.701 b=4.701 c=4.701 alpha=60.00 beta=60.00 gamma=60.00
Sites, in units of the cell vectors:
1 Np 0.000 0.000 0.000
2 U 0.250 0.250 0.250
3 U 0.750 0.750 0.750
4 Os 0.500 0.500 0.500

Calculated values
SG   Fm-3m (225)
DFT formation energy   0.034 eV/atom
Energy above the lowest structure with this stoichiometry   112 meV/atom

=====

[11]
Below is crystalline Sb2RhAu at its relaxed geometry, with properties calculated at the PBE level.

Unit cell a=4.634 b=4.634 c=6.657 alpha=110.31 beta=110.31 gamma=44.76
Sites, in units of the cell vectors:
1 Sb 0.000 0.000 0.000
2 Sb 0.710 0.710 0.449
3 Rh 0.459 0.459 0.618
4 Au 0.233 0.233 0.830

Calculated values
SG   Cm (8)
Formation energy (no corrections)   -0.059 eV per atom

=====

[12]
Below is crystalline LaPr6Ga at its relaxed geometry, with properties calculated at the PBE level.

Unit cell a=7.206 b=7.206 c=7.071 alpha=104.11 beta=104.11 gamma=121.34
Sites, in units of the cell vectors:
1 La 0.000 0.000 0.000
2 Pr 0.068 0.499 0.261
3 Pr 0.261 0.261 0.733
4 Pr 0.499 0.068 0.261
5 Pr 0.501 0.932 0.739
6 Pr 0.739 0.739 0.267
7 Pr 0.932 0.501 0.739
8 Ga 0.500 0.500 0.500

Calculated values
SG   C2/m (12)
DFT formation energy   0.088 eV/atom

=====

[13]
Below is crystalline Nb3CdBi at its relaxed geometry, with properties calculated at the PBE level.

Unit cell a=5.173 b=5.173 c=5.173 alpha=90.00 beta=90.00 gamma=90.00
Sites, in units of the cell vectors:
1 Nb 0.000 0.000 0.500
2 Nb 0.000 0.500 0.000
3 Nb 0.500 0.000 0.000
4 Cd 0.500 0.500 0.500
5 Bi 0.000 0.000 0.000

Calculated values
SG   Pm-3m (221)
DFT formation energy   1.759 eV/atom

=====

[14]
Below is crystalline Mg4CuRh3 at its relaxed geometry, with properties calculated at the PBE level.

Unit cell a=6.965 b=6.965 c=4.426 alpha=108.46 beta=108.46 gamma=37.06
Sites, in units of the cell vectors:
1 Mg 0.128 0.128 0.128
2 Mg 0.372 0.372 0.372
3 Mg 0.628 0.628 0.628
4 Mg 0.872 0.872 0.872
5 Cu 0.000 0.000 0.500
6 Rh 0.249 0.249 0.749
7 Rh 0.500 0.500 0.000
8 Rh 0.751 0.751 0.251

Calculated values
SG   C2/m (12)
DFT formation energy   -0.433 eV/atom

=====

[15]
Below is crystalline Ac4PdRh2 at its relaxed geometry, with properties calculated at the PBE level.

Unit cell a=8.030 b=8.030 c=7.582 alpha=117.91 beta=117.91 gamma=32.26
Sites, in units of the cell vectors:
1 Ac 0.127 0.127 0.307
2 Ac 0.363 0.363 0.205
3 Ac 0.637 0.637 0.795
4 Ac 0.873 0.873 0.693
5 Pd 0.500 0.500 0.000
6 Rh 0.263 0.263 0.762
7 Rh 0.737 0.737 0.238

Calculated values
SG   C2/m (12)
DFT formation energy   -0.658 eV/atom
Energy above the lowest structure with this stoichiometry   18 meV/atom

=====

[16]
Below is crystalline ErCl2F at its relaxed geometry, with properties calculated at the PBE level.

Unit cell a=7.198 b=7.198 c=7.198 alpha=148.29 beta=145.16 gamma=47.82
Sites, in units of the cell vectors:
1 Er 0.000 0.000 0.000
2 Cl 0.134 0.634 0.500
3 Cl 0.866 0.366 0.500
4 F 0.500 0.000 0.500

Calculated values
SG   Immm (71)
Formation energy (no corrections)   -2.909 eV per atom
Energy above the lowest structure with this stoichiometry   0 meV/atom

=====

[17]
Below is crystalline MgSc3Cu at its relaxed geometry, with properties calculated at the PBE level.

Unit cell a=5.008 b=5.008 c=5.008 alpha=90.00 beta=90.00 gamma=90.00
Sites, in units of the cell vectors:
1 Mg 0.000 0.000 0.000
2 Sc 0.000 0.500 0.500
3 Sc 0.500 0.000 0.500
4 Sc 0.500 0.500 0.000
5 Cu 0.500 0.500 0.500

Calculated values
SG   Pm-3m (221)
DFT formation energy   0.203 eV/atom
Energy above the lowest structure with this stoichiometry   0 meV/atom

=====

[18]
Below is crystalline NaScHg2Ru at its relaxed geometry, with properties calculated at the PBE level.

Unit cell a=4.877 b=4.877 c=4.862 alpha=90.00 beta=90.00 gamma=90.00
Sites, in units of the cell vectors:
1 Na 0.000 0.000 0.000
2 Sc 0.500 0.500 0.500
3 Hg 0.000 0.500 0.000
4 Hg 0.500 0.000 0.000
5 Ru 0.000 0.000 0.500

Calculated values
SG   P4/mmm (123)
DFT formation energy   0.992 eV/atom

=====

[19]
Below is crystalline Rb2LiHgMo at its relaxed geometry, with properties calculated at the PBE level.

Unit cell a=6.788 b=6.788 c=5.260 alpha=90.00 beta=90.00 gamma=90.00
Sites, in units of the cell vectors:
1 Rb 0.000 0.500 0.000
2 Rb 0.500 0.000 0.000
3 Li 0.000 0.000 0.500
4 Hg 0.000 0.000 0.000
5 Mo 0.500 0.500 0.500

Calculated values
SG   P4/mmm (123)
DFT formation energy   1.015 eV/atom

=====

Density of states at the Fermi level / states/eV/cell: 5.55 3.57 1.83 4.52 9.93 4.09 6.21 13.53 11.07 8.45 2.24 11.96 8.35 2.26 5.02 0.00 11.00 8.33 3.91